# CsLiBi2O (PBE-GGA, relaxed)
data_CsLiBi2O
_symmetry_space_group_name_H-M 'P 4/m m m'
_symmetry_Int_Tables_number 123
_symmetry_space_group_name_Hall '-P 4 2'
_cell_length_a 4.972
_cell_length_b 4.972
_cell_length_c 5.781
_cell_angle_alpha 90.00
_cell_angle_beta 90.00
_cell_angle_gamma 90.00
loop_
_atom_site_label
_atom_site_type_symbol
_atom_site_fract_x
_atom_site_fract_y
_atom_site_fract_z
Cs1 Cs 0.000 0.000 0.000
Li1 Li 0.500 0.500 0.000
Bi1 Bi 0.000 0.500 0.500
O1 O 0.000 0.000 0.500
# Uncorrected energy (eV/atom): -3.4317
# N(E_F) (states/eV/cell): 1.7
# Crystal system: tetragonal
# ΔE_f (raw) (eV per atom): -0.33
# M_tot (μB/f.u.): 0.00